{
  "formula": "NaLa3Ir",
  "functional": "PBE-GGA",
  "state": "relaxed",
  "lattice_angstrom": [[4.138, -2.389, 0.000], [0.000, 4.778, 0.000], [0.000, 0.000, 18.138]],
  "species": ["La", "Na", "Na", "La", "Ir", "La", "La", "La", "La", "Ir"],
  "frac_coords": [[0.667, 0.333, 0.433], [0.667, 0.333, 0.250], [0.333, 0.667, 0.750], [0.000, 0.000, 0.250], [0.000, 0.000, 0.500], [0.333, 0.667, 0.567], [0.000, 0.000, 0.750], [0.333, 0.667, 0.933], [0.667, 0.333, 0.067], [0.000, 0.000, 0.000]],
  "e_form_ev_per_atom": 0.375,
  "m_tot_mub_per_atom": 0.0001,
  "sg": "P6_3/mmc",
  "total_energy_ev_per_cell": -46.170,
  "volume_a3_per_cell": 358.67,
  "crystal_system": "hexagonal"
}

***

{
  "formula": "Ac12Zn3Co5",
  "functional": "PBE-GGA",
  "state": "relaxed",
  "lattice_angstrom": [[-13.547, 2.385, 6.783], [0.523, -14.315, -5.480], [11.256, 1.973, 10.228]],
  "species": ["Co", "Ac", "Ac", "Co", "Co", "Ac", "Co", "Ac", "Ac", "Co", "Ac", "Co", "Co", "Ac", "Ac", "Co", "Zn", "Ac", "Ac", "Ac", "Ac", "Co", "Zn", "Co", "Ac", "Zn", "Ac", "Ac", "Ac", "Zn", "Ac", "Ac", "Ac", "Ac", "Co", "Ac", "Co", "Ac", "Co", "Zn", "Ac", "Ac", "Ac", "Zn", "Co", "Ac", "Co", "Ac", "Zn", "Ac", "Ac", "Co", "Co", "Ac", "Ac", "Zn", "Ac", "Ac", "Ac", "Ac", "Ac", "Ac", "Ac", "Ac", "Ac", "Ac", "Zn", "Co", "Ac", "Ac", "Ac", "Ac", "Ac", "Co", "Zn", "Ac", "Zn", "Zn", "Co", "Ac"],
  "frac_coords": [[0.875, 0.625, 0.750], [0.821, 0.915, 0.294], [0.294, 0.415, 0.821], [0.750, 0.625, 0.375], [0.500, 0.500, 0.500], [0.206, 0.527, 0.621], [0.375, 0.250, 0.125], [0.121, 0.706, 0.527], [0.027, 0.621, 0.706], [0.125, 0.375, 0.250], [0.621, 0.594, 0.915], [0.000, 0.500, 0.500], [0.500, 0.000, 0.000], [0.706, 0.585, 0.179], [0.379, 0.973, 0.794], [0.250, 0.875, 0.125], [0.125, 0.250, 0.875], [0.879, 0.585, 0.906], [0.094, 0.915, 0.121], [0.973, 0.379, 0.294], [0.027, 0.406, 0.821], [0.625, 0.750, 0.875], [0.375, 0.625, 0.250], [0.000, 0.000, 0.500], [0.321, 0.794, 0.415], [0.750, 0.875, 0.625], [0.085, 0.179, 0.206], [0.406, 0.379, 0.585], [0.679, 0.206, 0.585], [0.625, 0.250, 0.375], [0.473, 0.794, 0.879], [0.585, 0.879, 0.406], [0.527, 0.206, 0.121], [0.621, 0.027, 0.206], [0.125, 0.750, 0.375], [0.121, 0.415, 0.094], [0.250, 0.375, 0.625], [0.973, 0.594, 0.179], [0.625, 0.875, 0.250], [0.750, 0.375, 0.125], [0.085, 0.906, 0.379], [0.379, 0.406, 0.085], [0.679, 0.473, 0.594], [0.625, 0.375, 0.750], [0.000, 0.500, 0.000], [0.594, 0.973, 0.679], [0.375, 0.125, 0.750], [0.594, 0.621, 0.415], [0.875, 0.125, 0.250], [0.915, 0.821, 0.794], [0.706, 0.121, 0.027], [0.875, 0.250, 0.625], [0.500, 0.500, 0.000], [0.094, 0.179, 0.473], [0.206, 0.679, 0.085], [0.250, 0.625, 0.875], [0.321, 0.527, 0.406], [0.415, 0.294, 0.321], [0.294, 0.879, 0.973], [0.821, 0.906, 0.027], [0.473, 0.679, 0.094], [0.179, 0.085, 0.706], [0.906, 0.821, 0.527], [0.527, 0.321, 0.906], [0.585, 0.706, 0.679], [0.406, 0.027, 0.321], [0.125, 0.875, 0.750], [0.750, 0.125, 0.875], [0.879, 0.294, 0.473], [0.906, 0.085, 0.879], [0.179, 0.094, 0.973], [0.915, 0.094, 0.621], [0.794, 0.321, 0.915], [0.000, 0.000, 0.000], [0.875, 0.750, 0.125], [0.415, 0.121, 0.594], [0.250, 0.125, 0.375], [0.375, 0.750, 0.625], [0.500, 0.000, 0.500], [0.794, 0.473, 0.379]],
  "e_form_ev_per_atom": 0.110,
  "m_tot_mub_per_atom": 0.0000,
  "sg": "Ia-3d",
  "total_energy_ev_per_cell": -345.817,
  "volume_a3_per_cell": 2777.06,
  "crystal_system": "cubic"
}

***

{
  "formula": "NdSm2Ag2Hg2",
  "functional": "PBE-GGA",
  "state": "relaxed",
  "lattice_angstrom": [[-2.279, 4.123, -1.392], [-2.392, 0.156, -4.288], [-8.999, -1.318, 2.159]],
  "species": ["Hg", "Ag", "Sm", "Hg", "Sm", "Nd", "Ag"],
  "frac_coords": [[0.259, 0.259, 0.222], [0.600, 0.600, 0.201], [0.124, 0.124, 0.627], [0.741, 0.741, 0.778], [0.876, 0.876, 0.373], [0.000, 0.000, 0.000], [0.400, 0.400, 0.799]],
  "e_form_ev_per_atom": -0.251,
  "m_tot_mub_per_atom": 0.0000,
  "sg": "R-3m",
  "total_energy_ev_per_cell": -22.268,
  "volume_a3_per_cell": 186.16,
  "crystal_system": "trigonal"
}

***

{
  "formula": "NaAc2MoN4",
  "functional": "PBE-GGA",
  "state": "relaxed",
  "lattice_angstrom": [[6.061, 0.246, 0.000], [-0.257, 6.060, 0.000], [-2.902, -3.153, 4.256]],
  "species": ["Ac", "Na", "N", "N", "N", "Mo", "N", "Ac"],
  "frac_coords": [[0.750, 0.250, 0.501], [0.000, 0.000, 0.001], [0.406, 0.803, 0.208], [0.197, 0.197, 0.791], [0.803, 0.406, 0.208], [0.500, 0.500, 0.000], [0.594, 0.594, 0.791], [0.250, 0.750, 0.501]],
  "m_tot_mub_per_atom": 0.0000,
  "sg": "Fmm2",
  "total_energy_ev_per_cell": -59.875,
  "volume_a3_per_cell": 156.59,
  "crystal_system": "orthorhombic"
}